V2CdGeI after structural relaxation. Source: Alexandria, functional GGA-PBE.

The structure in POSCAR format:
```
V2CdGeI
1.0
4.9600 0.0000 0.0000
0.0000 4.9600 0.0000
0.0000 0.0000 5.7703
V Cd Ge I
2 1 1 1
Direct
0.0000 0.5000 0.0000 V
0.5000 0.0000 0.0000 V
0.0000 0.0000 0.5000 Cd
0.5000 0.5000 0.0000 Ge
0.5000 0.5000 0.5000 I
```

Computed properties:
The uncorrected energy comes out at -4.10 eV/atom. Its formation energy (no corrections) is 959 meV/atom. As for the crystal system: tetragonal.

---

TbU2Ni9 after structural relaxation. Source: Alexandria, functional GGA-PBE.

The structure in POSCAR format:
```
TbU2Ni9
1.0
2.4365 1.4067 8.1829
-2.4365 1.4067 8.1829
0.0000 -2.8134 8.1829
Tb U Ni
1 2 9
Direct
0.0000 0.0000 0.0000 Tb
0.1418 0.1418 0.1418 U
0.8582 0.8582 0.8582 U
0.0829 0.5835 0.5835 Ni
0.3330 0.3330 0.3330 Ni
0.4165 0.4165 0.9171 Ni
0.4165 0.9171 0.4165 Ni
0.5000 0.5000 0.5000 Ni
0.5835 0.0829 0.5835 Ni
0.5835 0.5835 0.0829 Ni
0.6670 0.6670 0.6670 Ni
0.9171 0.4165 0.4165 Ni
```

Computed properties:
The calculation puts the calculated formation energy at -30.1 kJ/mol of atoms. The uncorrected energy comes out at -6.91 eV/atom. As for the crystal system: trigonal.